DFT (GGA+U) results for CoSbRu2O after structural relaxation.

## Properties
M_tot: 3.53 μB/f.u.
Fermi-level density of states: 4.8 states/eV/cell
Space group: P4/mmm (123)
Final energy: -5.99 eV per atom

abc: 4.756 4.756 3.375
angles: 90.00 90.00 90.00
Sites, in units of the cell vectors:
1 Co 0.000 0.000 0.000
2 Sb 0.500 0.500 0.500
3 Ru 0.000 0.500 0.000
4 Ru 0.500 0.000 0.000
5 O 0.000 0.000 0.500